1.
TbThRh: optimized geometry, PBE.

Geometry as extended XYZ:
```
6
Lattice="3.9647 -0.0075 0.0076 0.0089 5.7614 1.1721 1.9686 3.2185 7.7766" Properties=species:S:1:pos:R:3 pbc="T T T"
Th 1.9864 6.7348 3.5619
Rh 3.9638 5.4464 4.9856
Tb 1.9764 4.8979 7.0189
Tb 3.9659 4.0744 1.9374
Th 3.9558 2.2375 5.3944
Rh 1.9785 3.5260 3.9708
```

Values from the calculation:
E_tot   -7.043 eV per atom
Formation energy from the elements   -0.5759 eV per atom

---

2.
TbThRh2: optimized geometry, PBE.

Geometry as extended XYZ:
```
4
Lattice="0.3404 3.8340 -0.2523 -3.8121 0.2144 -1.8842 -2.5348 -1.3954 4.9695" Properties=species:S:1:pos:R:3 pbc="T T T"
Rh -0.9829 3.0730 2.3384
Rh -4.1089 -0.4608 3.4501
Th -2.8323 1.2130 1.0578
Tb -2.2374 1.3939 4.6855
```

Values from the calculation:
E_tot   -7.599 eV per atom
Formation energy from the elements   -0.9109 eV per atom